Entry from Alexandria via LeMat-Bulk: a geometry-optimized LiBeCr2 structure (PBE-GGA).

Properties
Its calculated volume is 47 Å³/f.u. As for the density of states at the Fermi level: 16.851 states/eV per cell. As for the total moment: 0.000 μB per formula unit. Its formation enthalpy at 0 K is 0.721 eV/atom.

CIF file:
```
data_LiBeCr2
_chemical_formula_sum 'Li4 Be4 Cr8'
_space_group_name_H-M_alt 'I -4 2 d'
_space_group_IT_number 122
_space_group_name_Hall 'I -4 2bw'
_cell_length_a 3.254
_cell_length_b 3.254
_cell_length_c 17.607
_cell_angle_alpha 90.00
_cell_angle_beta 90.00
_cell_angle_gamma 90.00
loop_
_atom_site_label
_atom_site_type_symbol
_atom_site_fract_x
_atom_site_fract_y
_atom_site_fract_z
Li1 Li 0.000 0.000 0.000
Be1 Be 0.000 0.000 0.500
Cr1 Cr 0.239 0.250 0.625
```